Record 1
A geometry-optimized Tb5MgRh6 structure, computed with PBE.

Lattice parameters (Å, degrees): 8.331 14.361 4.780 90.00 124.92 90.00
Space group C2/m (No. 12)
One atom of each set of equivalent atoms:
Tb (0.000, 0.000, 0.000) x2
Tb (0.000, 0.170, 0.500) x4
Tb (0.000, 0.344, 0.000) x4
Mg (0.000, 0.500, 0.500) x2
Rh (0.245, 0.000, 0.744) x4
Rh (0.250, 0.166, 0.249) x8

Record 2
A geometry-optimized Tb6MgRh structure, computed with PBE.

Lattice parameters (Å, degrees): 6.924 6.935 7.413 90.12 117.72 119.91
Space group P-1 (No. 2)
One atom of each set of equivalent atoms:
Tb (0.046, 0.077, 0.251) x2
Tb (0.282, 0.705, 0.250) x2
Tb (0.325, 0.530, 0.749) x2
Mg (0.500, 0.000, 0.000) x1
Rh (0.500, 0.500, 0.500) x1

Record 3
A geometry-optimized TbMg9Rh2 structure, computed with PBE.

Lattice parameters (Å, degrees): 11.523 11.523 7.524 90.00 90.00 90.00
Space group I4_1/amd (No. 141, origin choice 2)
One atom of each set of equivalent atoms:
Tb (0.000, 0.250, 0.375) x4
Mg (0.000, 0.250, 0.875) x4
Mg (0.122, 0.053, 0.691) x32
Rh (0.000, 0.000, 0.000) x8

Record 4
A geometry-optimized TbMg2Rh3 structure, computed with PBE.

Computed properties:
excess energy over the best structure of this formula in the dataset: 0.000 eV per atom

Lattice parameters (Å, degrees): 4.5658 4.5658 5.6127 90.00 90.00 120.00
Space group P-3m1 (No. 164)
One atom of each set of equivalent atoms:
Tb (0.0000, 0.0000, 0.0000) x1
Mg (0.3333, 0.6667, 0.6563) x2
Rh (0.0000, 0.0000, 0.5000) x1
Rh (0.3333, 0.6667, 0.1774) x2

Record 5
A geometry-optimized Tb4MgRh3 structure, computed with PBE.

Lattice parameters (Å, degrees): 10.916 10.916 5.853 90.00 90.00 90.00
Space group I4/mcm (No. 140)
One atom of each set of equivalent atoms:
Tb (0.080, 0.218, 0.000) x16
Mg (0.000, 0.500, 0.250) x4
Rh (0.000, 0.000, 0.250) x4
Rh (0.161, 0.339, 0.500) x8

Record 6
A geometry-optimized Tb2TmMgRh4 structure, computed with PBE.

Lattice parameters (Å, degrees): 4.7400 4.7400 23.2294 90.00 90.00 120.00
Space group R-3m (No. 166, hexagonal axes)
One atom of each set of equivalent atoms:
Tb (0.0000, 0.0000, 0.2452) x6
Tm (0.0000, 0.0000, 0.0000) x3
Mg (0.0000, 0.0000, 0.5000) x3
Rh (0.0000, 0.0000, 0.1240) x6
Rh (0.0000, 0.0000, 0.3753) x6

Record 7
A geometry-optimized Tb2YMgRh4 structure, computed with PBE.

Lattice parameters (Å, degrees): 4.7573 4.7573 23.3857 90.00 90.00 120.00
Space group R-3m (No. 166, hexagonal axes)
One atom of each set of equivalent atoms:
Tb (0.0000, 0.0000, 0.2447) x6
Y (0.0000, 0.0000, 0.0000) x3
Mg (0.0000, 0.0000, 0.5000) x3
Rh (0.0000, 0.0000, 0.1249) x6
Rh (0.0000, 0.0000, 0.3766) x6

Record 8
A geometry-optimized TbYMgRh structure, computed with PBE.

Lattice parameters (Å, degrees): 7.171 7.171 7.171 90.00 90.00 90.00
Space group F-43m (No. 216)
One atom of each set of equivalent atoms:
Tb (0.000, 0.000, 0.000) x4
Y (0.000, 0.000, 0.500) x4
Mg (0.250, 0.250, 0.250) x4
Rh (0.250, 0.250, 0.750) x4

Record 9
A geometry-optimized Tb2MgZn2Rh5 structure, computed with PBE.

Lattice parameters (Å, degrees): 9.654 9.654 3.666 90.00 90.00 90.00
Space group P4/mbm (No. 127)
One atom of each set of equivalent atoms:
Tb (0.174, 0.326, 0.000) x4
Mg (0.000, 0.000, 0.000) x2
Zn (0.124, 0.624, 0.000) x4
Rh (0.000, 0.500, 0.500) x2
Rh (0.069, 0.797, 0.500) x8

Record 10
A geometry-optimized Tb4MgZn2Rh structure, computed with PBE.

Lattice parameters (Å, degrees): 5.0893 5.0893 24.8527 90.00 90.00 120.00
Space group R-3m (No. 166, hexagonal axes)
One atom of each set of equivalent atoms:
Tb (0.0000, 0.0000, 0.1145) x6
Tb (0.0000, 0.0000, 0.3685) x6
Mg (0.0000, 0.0000, 0.5000) x3
Zn (0.0000, 0.0000, 0.2378) x6
Rh (0.0000, 0.0000, 0.0000) x3

Record 11
A geometry-optimized Mg4TcRh structure, computed with PBE.

Lattice parameters (Å, degrees): 7.525 7.525 7.525 90.00 90.00 90.00
Space group F-43m (No. 216)
One atom of each set of equivalent atoms:
Mg (0.125, 0.125, 0.125) x16
Tc (0.000, 0.000, 0.500) x4
Rh (0.250, 0.250, 0.750) x4

Record 12
A geometry-optimized Mg2TcRh structure, computed with PBE.

Computed properties:
excess energy over the best structure of this formula in the dataset: 0.215 eV per atom

Lattice parameters (Å, degrees): 6.350 6.350 6.350 90.00 90.00 90.00
Space group Fm-3m (No. 225)
One atom of each set of equivalent atoms:
Mg (0.250, 0.250, 0.250) x8
Tc (0.000, 0.000, 0.000) x4
Rh (0.000, 0.000, 0.500) x4

Record 13
A geometry-optimized Mg2TcRh structure, computed with PBE.

Computed properties:
excess energy over the best structure of this formula in the dataset: 0.140 eV per atom

Lattice parameters (Å, degrees): 2.781 4.407 5.194 90.00 98.42 90.00
Space group P2/m (No. 10)
One atom of each set of equivalent atoms:
Mg (0.229, 0.000, 0.252) x2
Tc (0.500, 0.500, 0.000) x1
Rh (0.000, 0.500, 0.500) x1

Record 14
A geometry-optimized MgTcRh2 structure, computed with PBE.

Lattice parameters (Å, degrees): 5.721 7.392 2.782 90.00 90.00 90.00
Space group Cmmm (No. 65)
One atom of each set of equivalent atoms:
Mg (0.000, 0.000, 0.000) x2
Tc (0.000, 0.500, 0.000) x2
Rh (0.250, 0.250, 0.500) x4

Record 15
A geometry-optimized MgTcRh structure, computed with PBE.

Computed properties:
excess energy over the best structure of this formula in the dataset: 0.151 eV per atom

Lattice parameters (Å, degrees): 2.793 4.902 6.815 93.88 97.48 90.41
Space group P1 (No. 1)
One atom of each set of equivalent atoms:
Mg (0.000, 0.000, 0.000) x1
Mg (0.335, 0.785, 0.643) x1
Tc (0.283, 0.348, 0.333) x1
Tc (0.472, 0.505, 0.016) x1
Rh (0.719, 0.883, 0.327) x1
Rh (0.858, 0.295, 0.683) x1

Record 16
A geometry-optimized MgTcRh structure, computed with PBE.

Computed properties:
excess energy over the best structure of this formula in the dataset: 0.119 eV per atom

Lattice parameters (Å, degrees): 4.877 2.827 6.759 90.00 96.64 90.00
Space group Pm (No. 6)
One atom of each set of equivalent atoms:
Mg (0.000, 0.000, 0.000) x1
Mg (0.245, 0.500, 0.350) x1
Tc (0.534, 0.000, 0.687) x1
Tc (0.738, 0.000, 0.390) x1
Rh (0.058, 0.500, 0.681) x1
Rh (0.520, 0.500, 0.040) x1

Record 17
A geometry-optimized MgTcRh structure, computed with PBE.

Computed properties:
excess energy over the best structure of this formula in the dataset: 0.186 eV per atom

Lattice parameters (Å, degrees): 5.131 4.361 8.155 90.00 90.00 90.00
Space group Pnma (No. 62)
One atom of each set of equivalent atoms:
Mg (0.166, 0.250, 0.081) x4
Tc (0.049, 0.250, 0.736) x4
Rh (0.165, 0.250, 0.416) x4

Record 18
A geometry-optimized MgTcRh structure, computed with PBE.

Computed properties:
excess energy over the best structure of this formula in the dataset: 0.282 eV per atom

Lattice parameters (Å, degrees): 4.4236 4.4236 5.5457 90.00 90.00 120.00
Space group P6_3/mmc (No. 194)
One atom of each set of equivalent atoms:
Mg (0.0000, 0.0000, 0.0000) x2
Tc (0.3333, 0.6667, 0.2500) x2
Rh (0.3333, 0.6667, 0.7500) x2

Record 19
A geometry-optimized Mg2TcRh structure, computed with PBE.

Computed properties:
excess energy over the best structure of this formula in the dataset: 0.178 eV per atom

Lattice parameters (Å, degrees): 4.665 4.665 2.876 90.00 90.00 90.00
Space group P4/mmm (No. 123)
One atom of each set of equivalent atoms:
Mg (0.000, 0.500, 0.000) x2
Tc (0.000, 0.000, 0.500) x1
Rh (0.500, 0.500, 0.500) x1

Record 20
A geometry-optimized MgTcRh structure, computed with PBE.

Computed properties:
excess energy over the best structure of this formula in the dataset: 0.100 eV per atom

Lattice parameters (Å, degrees): 3.200 4.531 12.792 90.00 90.00 90.00
Space group Amm2 (No. 38)
One atom of each set of equivalent atoms:
Mg (0.000, 0.000, 0.000) x2
Mg (0.000, 0.000, 0.333) x2
Tc (0.000, 0.000, 0.661) x2
Tc (0.500, 0.000, 0.522) x2
Rh (0.500, 0.000, 0.169) x2
Rh (0.500, 0.000, 0.831) x2

Formation energy from the elements (computed, meV per atom): -805, 31, -207, -644, -673, -817, -780, -406, -573, -420, 462, 115, 40, -156, -22, -54, 13, 109, 78, -73